# 1
Below is AcNdSm2P4 after structural relaxation, with properties calculated at the GGA-PBE level.

Results
Spin magnetization, Bohr magnetons per cell: 0.000
E_tot, eV/atom: -6.504

```
AcNdSm2P4
1.0
-3.661 -0.073 2.079
-3.213 -3.102 -5.767
0.472 -7.256 0.577
Ac P Sm Nd
1 4 2 1
Cartesian
-3.437 -1.587 -1.844
-4.147 -4.226 -3.186
-4.300 -2.699 0.862
-2.103 -7.731 -3.973
-2.256 -6.205 0.075
-1.595 -3.664 1.328
0.472 -7.256 0.577
-1.371 -5.179 -2.595
```

# 2
Below is Li2ScB2 after structural relaxation, with properties calculated at the GGA-PBE level.

Results
Spin magnetization, Bohr magnetons per cell: 0.000
E_tot, eV/atom: -4.787

```
Li2ScB2
1.0
3.449 0.000 0.000
0.000 3.449 0.000
1.724 1.724 5.039
Sc Li B
1 2 2
Cartesian
0.000 0.000 0.000
1.724 3.449 2.519
3.449 1.724 2.519
1.724 1.724 0.801
3.449 3.449 4.238
```